Material: Ho2Er5TmIn
Method: DFT, GGA-PBE
State: optimized geometry

a = 5.2688 Å, b = 10.4195 Å, c = 10.3075 Å
α = 90.00°, β = 90.00°, γ = 104.65°
With the nearest neighbours (Å) after each atom.
Atoms (fractional coordinates):
Er (0.7124, 0.4248, 0.8112)  1 In 3.10, 2 Er 3.23, 2 Tm 3.33, 3 Ho 3.40-3.46
Er (0.0096, 0.0193, 0.0082)  2 In 3.16, 2 Ho 3.35
Er (0.2873, 0.5746, 0.7051)  1 In 3.10, 2 Er 3.23, 2 Tm 3.33, 3 Ho 3.40-3.46
Er (0.7127, 0.4254, 0.2051)  1 In 3.10, 2 Er 3.23, 2 Tm 3.33, 3 Ho 3.40-3.46
Er (0.2876, 0.5752, 0.3112)  1 In 3.10, 2 Er 3.23, 2 Tm 3.33, 3 Ho 3.40-3.46
Er (0.3807, 0.7613, 0.0082)  4 Ho 3.43, 1 Tm 3.48, 6 Er 3.53-3.70
Er (0.4999, 0.9999, 0.2584)  2 In 3.23, 2 Er 3.53, 4 Ho 3.54-3.55
Er (0.5001, 0.0001, 0.7584)  2 In 3.23, 2 Er 3.53, 4 Ho 3.54-3.55
Er (0.9904, 0.9807, 0.5082)  2 In 3.16, 2 Ho 3.35
Er (0.6193, 0.2387, 0.5082)  4 Ho 3.43, 1 Tm 3.48, 6 Er 3.53-3.70
Ho (0.1162, 0.2324, 0.2952)  9 Er 3.35-3.66, 1 Tm 3.49
Ho (0.1161, 0.2321, 0.7211)  9 Er 3.35-3.65, 1 Tm 3.49
Ho (0.8839, 0.7679, 0.2211)  9 Er 3.35-3.65, 1 Tm 3.49
Ho (0.8838, 0.7676, 0.7952)  9 Er 3.35-3.66, 1 Tm 3.49
In (0.5964, 0.1929, 0.0085)  6 Er 3.10-3.23, 2 Tm 3.47
In (0.4036, 0.8071, 0.5085)  6 Er 3.10-3.23, 2 Tm 3.47
Tm (0.7918, 0.5835, 0.5081)  7 Er 3.33-3.51, 2 In 3.47, 2 Ho 3.49
Tm (0.2082, 0.4165, 0.0081)  7 Er 3.33-3.51, 2 In 3.47, 2 Ho 3.49

Computed properties:
Formation energy: 0.003 eV/f.u.
SG: Cmcm, No. 63

Material: HoEr2TmIn4
Method: DFT, GGA-PBE
State: optimized geometry

a = 5.2762 Å, b = 5.2762 Å, c = 9.1574 Å
α = 73.26°, β = 73.26°, γ = 60.00°
With the nearest neighbours (Å) after each atom.
Atoms (fractional coordinates):
In (0.3754, 0.3754, 0.8739)  1 Tm 3.23, 4 Er 3.23-3.25, 3 Ho 3.23
In (0.1254, 0.1254, 0.6239)  4 Er 3.22-3.23, 3 Tm 3.23, 1 Ho 3.25
In (0.8746, 0.8746, 0.3761)  4 Er 3.22-3.23, 3 Tm 3.23, 1 Ho 3.25
In (0.6246, 0.6246, 0.1261)  1 Tm 3.23, 4 Er 3.23-3.25, 3 Ho 3.23
Er (0.2498, 0.2498, 0.2507)  8 In 3.22-3.25
Er (0.7502, 0.7502, 0.7493)  8 In 3.22-3.25
Tm (0.5000, 0.5000, 0.5000)  8 In 3.23
Ho (0.0000, 0.0000, 0.0000)  8 In 3.23-3.25

Computed properties:
Formation energy: -3.504 eV/f.u.
SG: R-3m, No. 166

Material: HoEr2TmIn
Method: DFT, GGA-PBE
State: optimized geometry

a = 3.4551 Å, b = 10.2884 Å, c = 9.1385 Å
α = 90.00°, β = 90.00°, γ = 99.67°
With the nearest neighbours (Å) after each atom.
Atoms (fractional coordinates):
In (0.7366, 0.4731, 0.2500)  6 Er 3.12-3.17, 2 Tm 3.18, 2 In 3.46
In (0.2634, 0.5269, 0.7500)  6 Er 3.12-3.17, 2 Tm 3.18, 2 In 3.46
Er (0.3332, 0.6664, 0.0544)  3 In 3.12-3.17, 1 Ho 3.42, 2 Er 3.46
Er (0.6668, 0.3336, 0.9456)  3 In 3.12-3.17, 1 Ho 3.42, 2 Er 3.46
Er (0.3332, 0.6664, 0.4456)  3 In 3.12-3.17, 1 Ho 3.42, 2 Er 3.46
Er (0.6668, 0.3336, 0.5544)  3 In 3.12-3.17, 1 Ho 3.42, 2 Er 3.46
Tm (0.1049, 0.2098, 0.2500)  2 In 3.18, 2 Tm 3.46, 4 Er 3.51
Tm (0.8951, 0.7902, 0.7500)  2 In 3.18, 2 Tm 3.46, 4 Er 3.51
Ho (0.5000, 0.0000, 0.5000)  2 Er 3.42, 2 Ho 3.46, 4 Tm 3.57
Ho (0.5000, 0.0000, 0.0000)  2 Er 3.42, 2 Ho 3.46, 4 Tm 3.57

Computed properties:
Formation energy: 0.402 eV/f.u.
SG: Cmcm, No. 63

Material: HoErTm5In2
Method: DFT, GGA-PBE
State: optimized geometry

a = 7.5328 Å, b = 7.5328 Å, c = 11.0230 Å
α = 109.98°, β = 109.98°, γ = 90.00°
With the nearest neighbours (Å) after each atom.
Atoms (fractional coordinates):
Er (0.7500, 0.2500, 0.5000)  4 Tm 3.25
Er (0.2500, 0.7500, 0.5000)  4 Tm 3.25
Tm (0.6757, 0.1757, 0.7535)  1 In 3.02, 1 Er 3.25
Tm (0.0778, 0.5778, 0.7535)  1 In 3.02, 1 Er 3.25
Tm (0.0000, 0.0000, 0.0000)  4 In 2.98
Tm (0.9222, 0.4222, 0.2465)  1 In 3.02, 1 Er 3.25
Tm (0.5778, 0.6757, 0.7535)  1 In 3.02, 1 Er 3.25
Tm (0.8243, 0.9222, 0.2465)  1 In 3.02, 1 Er 3.25
Tm (0.4222, 0.3243, 0.2465)  1 In 3.02, 1 Er 3.25
Tm (0.5000, 0.5000, 0.0000)  4 In 2.98
Tm (0.1757, 0.0778, 0.7535)  1 In 3.02, 1 Er 3.25
Tm (0.3243, 0.8243, 0.2465)  1 In 3.02, 1 Er 3.25
In (0.3752, 0.8752, 0.0000)  1 In 2.66
In (0.6248, 0.1248, 0.0000)  1 In 2.66
In (0.8752, 0.6248, 0.0000)  1 In 2.66
In (0.1248, 0.3752, 0.0000)  1 In 2.66
Ho (0.2500, 0.2500, 0.5000)  8 Tm 3.65, 4 Er 3.77
Ho (0.7500, 0.7500, 0.5000)  8 Tm 3.65, 4 Er 3.77

Computed properties:
Formation energy: 0.237 eV/f.u.
SG: I4/mcm, No. 140

Material: Ho6Er2Tm3In
Method: DFT, GGA-PBE
State: optimized geometry

a = 6.0340 Å, b = 6.0340 Å, c = 11.5253 Å
α = 95.03°, β = 95.03°, γ = 120.05°
With the nearest neighbours (Å) after each atom.
Atoms (fractional coordinates):
Tm (0.8332, 0.1668, 0.5000)  6 Ho 3.48-3.51, 6 Tm 3.48-3.49
Tm (0.1668, 0.8332, 0.5000)  6 Ho 3.48-3.51, 6 Tm 3.48-3.49
Tm (0.5000, 0.5000, 0.5000)  6 Tm 3.48, 6 Ho 3.49-3.50
Ho (0.2474, 0.2474, 0.7509)  6 Ho 3.45-3.50, 1 In 3.46, 2 Er 3.47, 3 Tm 3.48-3.50
Ho (0.5881, 0.9179, 0.7520)  1 In 3.44, 6 Ho 3.45-3.50, 2 Er 3.47, 3 Tm 3.49-3.51
Ho (0.4119, 0.0821, 0.2480)  1 In 3.44, 6 Ho 3.45-3.50, 2 Er 3.47, 3 Tm 3.49-3.51
Ho (0.9179, 0.5881, 0.7520)  1 In 3.44, 6 Ho 3.45-3.50, 2 Er 3.47, 3 Tm 3.49-3.51
Ho (0.7526, 0.7526, 0.2491)  6 Ho 3.45-3.50, 1 In 3.46, 2 Er 3.47, 3 Tm 3.48-3.50
Ho (0.0821, 0.4119, 0.2480)  1 In 3.44, 6 Ho 3.45-3.50, 2 Er 3.47, 3 Tm 3.49-3.51
Er (0.3340, 0.6660, 0.0000)  6 Ho 3.47, 3 Er 3.47-3.49, 3 In 3.48-3.49
Er (0.6660, 0.3340, 0.0000)  6 Ho 3.47, 3 Er 3.47-3.49, 3 In 3.48-3.49
In (0.0000, 0.0000, 0.0000)  6 Ho 3.44-3.46, 6 Er 3.48-3.49

Computed properties:
Formation energy: -0.456 eV/f.u.
SG: C2/m, No. 12

Material: Ho2ErTmIn4
Method: DFT, GGA-PBE
State: optimized geometry

a = 5.2798 Å, b = 5.2798 Å, c = 9.1628 Å
α = 73.26°, β = 73.26°, γ = 60.00°
With the nearest neighbours (Å) after each atom.
Atoms (fractional coordinates):
In (0.3752, 0.3752, 0.8743)  4 Ho 3.23-3.25, 1 Tm 3.23, 3 Er 3.24
In (0.8747, 0.8747, 0.3758)  3 Tm 3.23, 4 Ho 3.23-3.24, 1 Er 3.25
In (0.6248, 0.6248, 0.1257)  4 Ho 3.23-3.25, 1 Tm 3.23, 3 Er 3.24
In (0.1253, 0.1253, 0.6242)  3 Tm 3.23, 4 Ho 3.23-3.24, 1 Er 3.25
Er (0.0000, 0.0000, 0.0000)  8 In 3.24-3.25
Ho (0.7501, 0.7501, 0.7498)  8 In 3.23-3.25
Ho (0.2499, 0.2499, 0.2502)  8 In 3.23-3.25
Tm (0.5000, 0.5000, 0.5000)  8 In 3.23

Computed properties:
Formation energy: -3.531 eV/f.u.
SG: R-3m, No. 166

Material: YHoErIn
Method: DFT, GGA-PBE
State: optimized geometry

a = 5.4305 Å, b = 5.4305 Å, c = 5.4305 Å
α = 60.00°, β = 60.00°, γ = 60.00°
With the nearest neighbours (Å) after each atom.
Atoms (fractional coordinates):
Ho (0.0000, 0.0000, 0.0000)  4 Er 3.33, 4 Y 3.33
In (0.5000, 0.5000, 0.5000)  4 Er 3.33, 4 Y 3.33
Er (0.2500, 0.2500, 0.2500)  4 In 3.33, 4 Ho 3.33
Y (0.7500, 0.7500, 0.7500)  4 In 3.33, 4 Ho 3.33

Computed properties:
Formation energy: -0.503 eV/f.u.
Energy relative to the lowest polymorph listed for this composition: 0.56 eV per formula unit
SG: F-43m, No. 216

Material: Y2Ho6Er3In
Method: DFT, GGA-PBE
State: optimized geometry

a = 6.0479 Å, b = 6.0479 Å, c = 11.6081 Å
α = 95.00°, β = 95.00°, γ = 120.03°
With the nearest neighbours (Å) after each atom.
Atoms (fractional coordinates):
Ho (0.9173, 0.5883, 0.7509)  6 Ho 3.45-3.51, 1 In 3.47, 2 Y 3.50, 3 Er 3.50-3.52
Ho (0.0827, 0.4117, 0.2491)  6 Ho 3.45-3.51, 1 In 3.47, 2 Y 3.50, 3 Er 3.50-3.52
Ho (0.5883, 0.9173, 0.7509)  6 Ho 3.45-3.51, 1 In 3.47, 2 Y 3.50, 3 Er 3.50-3.52
Ho (0.7538, 0.7538, 0.2503)  6 Ho 3.45-3.51, 3 Er 3.49-3.51, 1 In 3.49, 2 Y 3.50
Ho (0.2462, 0.2462, 0.7497)  6 Ho 3.45-3.51, 3 Er 3.49-3.51, 1 In 3.49, 2 Y 3.50
Ho (0.4117, 0.0827, 0.2491)  6 Ho 3.45-3.51, 1 In 3.47, 2 Y 3.50, 3 Er 3.50-3.52
Er (0.8331, 0.1669, 0.5000)  6 Er 3.49-3.50, 6 Ho 3.49-3.52
Er (0.1669, 0.8331, 0.5000)  6 Er 3.49-3.50, 6 Ho 3.49-3.52
Er (0.5000, 0.5000, 0.5000)  6 Er 3.49, 6 Ho 3.50-3.51
Y (0.6661, 0.3339, 0.0000)  3 Y 3.48-3.50, 3 In 3.49-3.50, 6 Ho 3.50
Y (0.3339, 0.6661, 0.0000)  3 Y 3.48-3.50, 3 In 3.49-3.50, 6 Ho 3.50
In (0.0000, 0.0000, 0.0000)  6 Ho 3.47-3.49, 6 Y 3.49-3.50

Computed properties:
Formation energy: -0.497 eV/f.u.
SG: C2/m, No. 12